Entry from Alexandria via LeMat-Bulk: crystalline Na2PrFeO4 at its relaxed geometry (PBE with a Hubbard U).

a b c (Å): 3.443 11.531 11.099
angles (deg): 90.00 90.00 90.00
Space group Cmcm (No. 63)
One atom of each set of equivalent atoms:
Na 0.000 0.122 0.035
Pr 0.000 0.399 0.250
Fe 0.000 0.335 0.750
O 0.000 0.074 0.250
O 0.000 0.215 0.637
O 0.000 0.500 0.000

M_tot = 20.046 μB/cell
Calculated volume = 13.77 Å³ per atom
Uncorrected energy = -5.893 eV per atom